Record 1
The following is a meta-GGA SCAN calculation of a PBEsol-optimized structure of YTa2Ir2, from Alexandria via LeMat-Bulk.

Results
ΔH_f (0 K) = -0.856 eV per atom
DOS(E_F) = 3.19 states/eV per cell
volume = 20.00 Å³/atom
DFT total energy = -307.5 eV per cell
symmetry = No. 139

Lattice parameters (Å, degrees): 4.3728 4.3728 6.0763 111.09 111.09 90.00
Closest atoms and distances in Å follow each position.
Positions (direct):
Ta  0.7500  0.2500  0.5000  4 Ir 2.56
Ir  0.3767  0.3767  0.7534  4 Ta 2.56, 1 Ir 2.58
Ir  0.6233  0.6233  0.2466  4 Ta 2.56, 1 Ir 2.58
Ta  0.2500  0.7500  0.5000  4 Ir 2.56
Y  0.0000  0.0000  0.0000  8 Ir 3.35, 8 Ta 3.41


Record 2
The following is a meta-GGA SCAN calculation of a PBEsol-optimized structure of YZrTa2Ir, from Alexandria via LeMat-Bulk.

Results
ΔH_f (0 K) = 1.914 eV per atom
DOS(E_F) = 6.79 states/eV per cell
volume = 22.67 Å³/atom
DFT total energy = -253.2 eV per cell
symmetry = No. 123

Lattice parameters (Å, degrees): 4.7094 4.7094 5.1098 90.00 90.00 90.00
Closest atoms and distances in Å follow each position.
Positions (direct):
Y  0.0000  0.0000  0.5000  2 Zr 2.55
Ta  0.5000  0.0000  0.0000  2 Zr 2.35
Zr  0.0000  0.0000  0.0000  4 Ta 2.35, 2 Y 2.55
Ir  0.5000  0.5000  0.5000  4 Y 3.33, 8 Ta 3.47
Ta  0.0000  0.5000  0.0000  2 Zr 2.35


Record 3
The following is a meta-GGA SCAN calculation of a PBEsol-optimized structure of Ta2ZnIr, from Alexandria via LeMat-Bulk.

Results
ΔH_f (0 K) = -0.129 eV per atom
DOS(E_F) = 1.78 states/eV per cell
volume = 15.86 Å³/atom
DFT total energy = -218.3 eV per cell
symmetry = No. 166

Lattice parameters (Å, degrees): 2.8169 2.8169 9.3744 81.36 81.36 60.00
Closest atoms and distances in Å follow each position.
Positions (direct):
Ir  0.0000  0.0000  0.0000  6 Ta 2.79, 6 Ir 2.82
Ta  0.7486  0.7486  0.7541  3 Ir 2.79, 6 Ta 2.82, 3 Zn 2.85
Ta  0.2514  0.2514  0.2459  3 Ir 2.79, 6 Ta 2.82, 3 Zn 2.85
Zn  0.5000  0.5000  0.5000  6 Zn 2.82, 6 Ta 2.85


Record 4
The following is a meta-GGA SCAN calculation of a PBEsol-optimized structure of ZrTaIr3, from Alexandria via LeMat-Bulk.

Results
ΔH_f (0 K) = 0.856 eV per atom
DOS(E_F) = 3.87 states/eV per cell
volume = 20.60 Å³/atom
DFT total energy = -306.3 eV per cell
symmetry = No. 221

Lattice parameters (Å, degrees): 4.6875 4.6875 4.6875 90.00 90.00 90.00
Closest atoms and distances in Å follow each position.
Positions (direct):
Zr  0.5000  0.5000  0.5000  12 Ir 3.31
Ta  0.0000  0.0000  0.0000  6 Ir 2.34
Ir  0.0000  0.5000  0.0000  2 Ta 2.34
Ir  0.5000  0.0000  0.0000  2 Ta 2.34
Ir  0.0000  0.0000  0.5000  2 Ta 2.34


Question: Which value of DFT total energy does entry 4 give?
Answer: -306.3 eV per cell